# KAs3Rh3

A geometry-optimized KAs3Rh3 structure (PBE, Alexandria via LeMat-Bulk).

Values from the calculation:
Crystal system: trigonal
D(E_F) in states/eV/cell: 22.28
M_tot in μB per formula unit: 0.00
Energy of formation from the pure elements in meV/atom: -422

CIF file:
```
data_KAs3Rh3
_symmetry_space_group_name_H-M 'R -3'
_symmetry_Int_Tables_number 148
_symmetry_space_group_name_Hall '-R 3'
_cell_length_a 6.7581
_cell_length_b 6.7581
_cell_length_c 24.2969
_cell_angle_alpha 90.00
_cell_angle_beta 90.00
_cell_angle_gamma 120.00
loop_
_atom_site_label
_atom_site_type_symbol
_atom_site_fract_x
_atom_site_fract_y
_atom_site_fract_z
K1 K 0.0000 0.0000 0.1704
As1 As 0.0200 0.6285 0.2674
Rh1 Rh 0.0182 0.7316 0.7025
```